Entry from Alexandria: a geometry-optimized HgRu2Au structure (PBE).

Lattice parameters (Å, degrees): 4.0244 4.0228 4.1911 90.00 90.00 90.00
Sites, in units of the cell vectors:
Ru1 0.0000 0.0000 0.0000
Ru2 0.5000 0.5000 0.0000
Au1 0.5000 0.0000 0.5000
Hg1 0.0000 0.5000 0.5000

## Properties
The calculation puts the calculated density at 14.7 g/cm3. As for the calculated formation energy: 0.610 eV per atom. Its space group is P4/mmm (123). As for the crystal system: tetragonal. Its total energy is -4.9225 eV/atom. For the total magnetization, the calculation gives 3.41 μB per formula unit.

Entry from Alexandria: a geometry-optimized HgRuAu2 structure (PBE).

Lattice parameters (Å, degrees): 5.8693 5.8693 5.8693 151.76 130.15 58.28
Sites, in units of the cell vectors:
Ru1 0.2500 0.7500 0.5000
Hg1 0.7500 0.2500 0.5000
Au1 0.4834 0.4834 0.0000
Au2 0.0166 0.0166 0.0000

## Properties
The calculation puts the calculated density at 15.9 g/cm3. As for the calculated formation energy: 0.393 eV per atom. Its space group is Immm (71). As for the crystal system: orthorhombic. Its total energy is -3.6396 eV/atom. For the total magnetization, the calculation gives 0.11 μB per formula unit.

Entry from Alexandria: a geometry-optimized HgRuAu2 structure (PBE).

Lattice parameters (Å, degrees): 4.9501 4.9501 4.9501 128.97 128.97 75.06
Sites, in units of the cell vectors:
Au1 0.0000 0.0000 0.0000
Hg1 0.5000 0.5000 0.0000
Ru1 0.7500 0.2500 0.5000
Au2 0.2500 0.7500 0.5000

## Properties
The calculation puts the calculated density at 16.2 g/cm3. As for the calculated formation energy: 0.408 eV per atom. Its space group is I-4m2 (119). As for the crystal system: tetragonal. Its total energy is -3.6256 eV/atom. For the total magnetization, the calculation gives 1.28 μB per formula unit.

Entry from Alexandria: a geometry-optimized HgRu2Au structure (PBE).

Lattice parameters (Å, degrees): 5.0393 5.0393 5.0393 132.75 132.75 69.05
Sites, in units of the cell vectors:
Ru1 0.5000 0.5000 0.0000
Au1 0.2500 0.7500 0.5000
Hg1 0.7500 0.2500 0.5000
Ru2 0.0000 0.0000 0.0000

## Properties
The calculation puts the calculated density at 14.7 g/cm3. As for the calculated formation energy: 0.606 eV per atom. Its space group is I4/mmm (139). As for the crystal system: tetragonal. Its total energy is -4.9264 eV/atom. For the total magnetization, the calculation gives 3.31 μB per formula unit.

Entry from Alexandria: a geometry-optimized HgRuAu3 structure (PBE).

Lattice parameters (Å, degrees): 5.1388 5.1388 5.1388 90.00 90.00 90.00
Sites, in units of the cell vectors:
Au1 0.0000 0.0000 0.5000
Au2 0.5000 0.0000 0.0000
Ru1 0.5000 0.5000 0.5000
Hg1 0.0000 0.0000 0.0000
Au3 0.0000 0.5000 0.0000

## Properties
The calculation puts the calculated density at 10.9 g/cm3. As for the calculated formation energy: 1.461 eV per atom. Its space group is Pm-3m (221). As for the crystal system: cubic. Its total energy is -2.4206 eV/atom. For the total magnetization, the calculation gives 2.82 μB per formula unit. The calculation puts the energy above the most stable polymorph in this dataset at 469 meV per atom.

Entry from Alexandria: a geometry-optimized HgRu2Au structure (PBE).

Lattice parameters (Å, degrees): 4.8476 4.8476 5.0307 80.66 80.66 34.79
Sites, in units of the cell vectors:
Au1 0.5042 0.5042 0.5023
Ru1 0.2572 0.2572 0.2170
Ru2 0.9915 0.9915 0.0387
Hg1 0.7471 0.7471 0.7419

## Properties
The calculation puts the calculated density at 15.0 g/cm3. As for the calculated formation energy: 0.456 eV per atom. Its space group is Cm (8). As for the crystal system: monoclinic. Its total energy is -5.0764 eV/atom. For the total magnetization, the calculation gives 0.00 μB per formula unit.

Entry from Alexandria: a geometry-optimized Hg2RuAu structure (PBE).

Lattice parameters (Å, degrees): 4.0126 3.0108 6.8491 64.30 90.00 90.00
Sites, in units of the cell vectors:
Hg1 0.0000 0.9873 0.0118
Hg2 0.0000 0.5127 0.4882
Au1 0.5000 0.7500 0.7500
Ru1 0.5000 0.2500 0.2500

## Properties
The calculation puts the calculated density at 15.6 g/cm3. As for the calculated formation energy: 0.422 eV per atom. Its space group is P2/m (10). As for the crystal system: monoclinic. Its total energy is -2.8673 eV/atom. For the total magnetization, the calculation gives 0.96 μB per formula unit. The calculation puts the energy above the most stable polymorph in this dataset at 55 meV per atom.

Entry from Alexandria: a geometry-optimized Hg2RuAu structure (PBE).

Lattice parameters (Å, degrees): 10.3610 10.3610 10.3610 16.39 16.39 16.39
Sites, in units of the cell vectors:
Au1 0.2426 0.2426 0.2426
Hg1 0.7594 0.7594 0.7594
Ru1 0.5024 0.5024 0.5024
Hg2 0.9955 0.9955 0.9955

## Properties
The calculation puts the calculated density at 15.0 g/cm3. As for the calculated formation energy: 0.416 eV per atom. Its space group is R3m (160). As for the crystal system: trigonal. Its total energy is -2.8736 eV/atom. For the total magnetization, the calculation gives 0.88 μB per formula unit. The calculation puts the energy above the most stable polymorph in this dataset at 49 meV per atom.

Entry from Alexandria: a geometry-optimized HgRuAu structure (PBE).

Lattice parameters (Å, degrees): 6.5396 6.5400 2.9386 77.01 77.02 25.97
Sites, in units of the cell vectors:
Ru1 0.6633 0.6633 0.3367
Au1 0.0098 0.0098 0.9902
Hg1 0.3269 0.3269 0.6731

## Properties
The calculation puts the calculated density at 15.5 g/cm3. As for the calculated formation energy: 0.445 eV per atom. Its space group is I4mm (107). As for the crystal system: tetragonal. Its total energy is -3.8398 eV/atom. For the total magnetization, the calculation gives 1.32 μB per formula unit. The calculation puts the energy above the most stable polymorph in this dataset at 0 meV per atom.

Entry from Alexandria: a geometry-optimized HgRu2Au structure (PBE).

Lattice parameters (Å, degrees): 9.4302 9.4302 9.4302 17.48 17.48 17.48
Sites, in units of the cell vectors:
Ru1 0.9982 0.9982 0.9982
Hg1 0.7500 0.7500 0.7500
Au1 0.2500 0.2500 0.2500
Ru2 0.5018 0.5018 0.5018

## Properties
The calculation puts the calculated density at 15.1 g/cm3. As for the calculated formation energy: 0.576 eV per atom. Its space group is R-3m (166). As for the crystal system: trigonal. Its total energy is -4.9563 eV/atom. For the total magnetization, the calculation gives 0.00 μB per formula unit.

Entry from Alexandria: a geometry-optimized Hg2RuAu structure (PBE).

Lattice parameters (Å, degrees): 2.9926 4.1738 6.0409 90.00 90.00 90.00
Sites, in units of the cell vectors:
Hg1 0.5000 0.5000 0.2759
Au1 0.5000 0.5000 0.7401
Ru1 0.0000 0.0000 0.4972
Hg2 0.0000 0.0000 0.9868

## Properties
The calculation puts the calculated density at 15.4 g/cm3. As for the calculated formation energy: 0.455 eV per atom. Its space group is Pmm2 (25). As for the crystal system: orthorhombic. Its total energy is -2.8341 eV/atom. For the total magnetization, the calculation gives 1.03 μB per formula unit. The calculation puts the energy above the most stable polymorph in this dataset at 89 meV per atom.

Entry from Alexandria: a geometry-optimized Hg4RuAu structure (PBE).

Lattice parameters (Å, degrees): 5.6706 5.6706 5.6706 60.00 60.00 60.00
Sites, in units of the cell vectors:
Au1 0.0000 0.0000 0.0000
Hg1 0.3752 0.3752 0.8744
Ru1 0.7500 0.7500 0.7500
Hg2 0.3752 0.3752 0.3752
Hg3 0.8744 0.3752 0.3752
Hg4 0.3752 0.8744 0.3752

## Properties
The calculation puts the calculated density at 14.2 g/cm3. As for the calculated formation energy: 0.772 eV per atom. Its space group is F-43m (216). As for the crystal system: cubic. Its total energy is -1.5217 eV/atom. For the total magnetization, the calculation gives 1.51 μB per formula unit.